Material: Tb10In3Bi3
Method: DFT, PBE
State: optimized geometry

Summary:
VASP energy = -75.21 eV/cell

The structure in POSCAR format:
```
Tb10In3Bi3
1.0
9.105 0.000 0.000
-4.553 7.885 0.000
0.000 0.000 6.631
Tb In Bi
10 3 3
direct
0.000 0.236 0.000
0.000 0.764 0.500
0.236 0.000 0.000
0.236 0.236 0.500
0.333 0.667 0.256
0.333 0.667 0.744
0.667 0.333 0.256
0.667 0.333 0.744
0.764 0.000 0.500
0.764 0.764 0.000
0.000 0.395 0.500
0.395 0.000 0.500
0.605 0.605 0.500
0.000 0.604 0.000
0.396 0.396 0.000
0.604 0.000 0.000
```